Entry 1:
# Sc2BiCl (PBE, relaxed)
data_Sc2BiCl
_chemical_formula_sum 'Sc8 Bi4 Cl4'
_symmetry_space_group_name_H-M 'P 1'
_symmetry_Int_Tables_number 1
_cell_length_a 7.168
_cell_length_b 7.168
_cell_length_c 7.168
_cell_angle_alpha 90.00
_cell_angle_beta 90.00
_cell_angle_gamma 90.00
loop_
_symmetry_equiv_pos_as_xyz
'x,y,z'
loop_
_atom_site_label
_atom_site_fract_x
_atom_site_fract_y
_atom_site_fract_z
Sc1 0.250 0.250 0.250
Sc2 0.250 0.250 0.750
Sc3 0.250 0.750 0.250
Sc4 0.250 0.750 0.750
Sc5 0.750 0.250 0.250
Sc6 0.750 0.250 0.750
Sc7 0.750 0.750 0.250
Sc8 0.750 0.750 0.750
Bi1 0.000 0.000 0.000
Bi2 0.000 0.500 0.500
Bi3 0.500 0.000 0.500
Bi4 0.500 0.500 0.000
Cl1 0.000 0.000 0.500
Cl2 0.000 0.500 0.000
Cl3 0.500 0.000 0.000
Cl4 0.500 0.500 0.500
# spin magnetization: 7.1 μB/cell
# E above lowest polymorph: 0.0000 eV/atom
# ΔE_f (raw): -0.741 eV per atom
# space group: Fm-3m

Entry 2:
# Pr2ThMg6 (PBE, relaxed)
data_Pr2ThMg6
_chemical_formula_sum 'Pr2 Th1 Mg6'
_symmetry_space_group_name_H-M 'P 1'
_symmetry_Int_Tables_number 1
_cell_length_a 9.217
_cell_length_b 9.217
_cell_length_c 3.335
_cell_angle_alpha 90.00
_cell_angle_beta 90.00
_cell_angle_gamma 120.00
loop_
_symmetry_equiv_pos_as_xyz
'x,y,z'
loop_
_atom_site_label
_atom_site_fract_x
_atom_site_fract_y
_atom_site_fract_z
Pr1 0.333 0.667 0.000
Pr2 0.667 0.333 0.000
Th1 0.000 0.000 0.000
Mg1 0.000 0.332 0.500
Mg2 0.000 0.668 0.500
Mg3 0.332 0.000 0.500
Mg4 0.332 0.332 0.500
Mg5 0.668 0.000 0.500
Mg6 0.668 0.668 0.500
# spin magnetization: 0.0 μB/cell
# VASP energy: -27.075 eV/f.u.
# space group: P6/mmm

Entry 3:
# PdRuN2O (PBE, relaxed)
data_PdRuN2O
_chemical_formula_sum 'Pd1 Ru1 N2 O1'
_symmetry_space_group_name_H-M 'P 1'
_symmetry_Int_Tables_number 1
_cell_length_a 3.852
_cell_length_b 3.852
_cell_length_c 3.804
_cell_angle_alpha 90.00
_cell_angle_beta 90.00
_cell_angle_gamma 90.00
loop_
_symmetry_equiv_pos_as_xyz
'x,y,z'
loop_
_atom_site_label
_atom_site_fract_x
_atom_site_fract_y
_atom_site_fract_z
Pd1 0.000 0.000 0.000
Ru1 0.500 0.500 0.000
N1 0.000 0.500 0.500
N2 0.500 0.000 0.500
O1 0.000 0.000 0.500
# spin magnetization: 1.6 μB/cell
# ΔE_f (raw): 2.149 eV per atom
# space group: P4/mmm

Entry 4:
# AcCeGdPu (PBE, relaxed)
data_AcCeGdPu
_chemical_formula_sum 'Ac4 Ce4 Gd4 Pu4'
_symmetry_space_group_name_H-M 'P 1'
_symmetry_Int_Tables_number 1
_cell_length_a 8.114
_cell_length_b 8.114
_cell_length_c 8.114
_cell_angle_alpha 90.00
_cell_angle_beta 90.00
_cell_angle_gamma 90.00
loop_
_symmetry_equiv_pos_as_xyz
'x,y,z'
loop_
_atom_site_label
_atom_site_fract_x
_atom_site_fract_y
_atom_site_fract_z
Ac1 0.000 0.000 0.000
Ac2 0.000 0.500 0.500
Ac3 0.500 0.000 0.500
Ac4 0.500 0.500 0.000
Ce1 0.250 0.250 0.750
Ce2 0.250 0.750 0.250
Ce3 0.750 0.250 0.250
Ce4 0.750 0.750 0.750
Gd1 0.250 0.250 0.250
Gd2 0.250 0.750 0.750
Gd3 0.750 0.250 0.750
Gd4 0.750 0.750 0.250
Pu1 0.000 0.000 0.500
Pu2 0.000 0.500 0.000
Pu3 0.500 0.000 0.000
Pu4 0.500 0.500 0.500
# spin magnetization: 5.0 μB/cell
# VASP energy: -37.328 eV/f.u.
# space group: F-43m

Entry 5:
# LiCaTc (PBE, relaxed)
data_LiCaTc
_chemical_formula_sum 'Li2 Ca2 Tc2'
_symmetry_space_group_name_H-M 'P 1'
_symmetry_Int_Tables_number 1
_cell_length_a 3.219
_cell_length_b 3.219
_cell_length_c 13.023
_cell_angle_alpha 90.00
_cell_angle_beta 90.00
_cell_angle_gamma 90.00
loop_
_symmetry_equiv_pos_as_xyz
'x,y,z'
loop_
_atom_site_label
_atom_site_fract_x
_atom_site_fract_y
_atom_site_fract_z
Li1 0.250 0.250 0.075
Li2 0.750 0.750 0.925
Ca1 0.250 0.250 0.712
Ca2 0.750 0.750 0.288
Tc1 0.250 0.250 0.454
Tc2 0.750 0.750 0.546
# spin magnetization: 0.0 μB/cell
# E above lowest polymorph: 0.0000 eV/atom
# space group: P4/nmm

Entry 6:
# Pm3GeBr3 (PBE, relaxed)
data_Pm3GeBr3
_chemical_formula_sum 'Pm3 Ge1 Br3'
_symmetry_space_group_name_H-M 'P 1'
_symmetry_Int_Tables_number 1
_cell_length_a 5.953
_cell_length_b 5.953
_cell_length_c 5.953
_cell_angle_alpha 90.00
_cell_angle_beta 90.00
_cell_angle_gamma 90.00
loop_
_symmetry_equiv_pos_as_xyz
'x,y,z'
loop_
_atom_site_label
_atom_site_fract_x
_atom_site_fract_y
_atom_site_fract_z
Pm1 0.000 0.000 0.500
Pm2 0.000 0.500 0.000
Pm3 0.500 0.000 0.000
Ge1 0.000 0.000 0.000
Br1 0.000 0.500 0.500
Br2 0.500 0.000 0.500
Br3 0.500 0.500 0.000
# spin magnetization: 0.0 μB/cell
# E above lowest polymorph: 0.0941 eV/atom
# ΔE_f (raw): -1.364 eV per atom
# space group: Pm-3m